No. 1
A plane-wave DFT calculation with PBE-GGA was carried out for a geometry-optimized SmDySnPb structure.

Total moment = 0.0 μB per formula unit
Space-group type = F-43m, No. 216

Cell and atoms, written as CIF:
```
data_SmDySnPb
_symmetry_space_group_name_H-M 'P 1'
_symmetry_Int_Tables_number 1
_symmetry_space_group_name_Hall 'P 1'
_cell_length_a 5.450
_cell_length_b 5.450
_cell_length_c 5.450
_cell_angle_alpha 60.00
_cell_angle_beta 60.00
_cell_angle_gamma 60.00
loop_
_atom_site_label
_atom_site_type_symbol
_atom_site_fract_x
_atom_site_fract_y
_atom_site_fract_z
_atom_site_occupancy
Sm1 Sm 0.000 0.000 0.000 1
Dy1 Dy 0.500 0.500 0.500 1
Sn1 Sn 0.250 0.250 0.250 1
Pb1 Pb 0.750 0.750 0.750 1
```

---

No. 2
A plane-wave DFT calculation with PBE-GGA was carried out for a geometry-optimized Sr2YNi structure.

Total moment = 0.0 μB per formula unit
Space-group type = I-42d, No. 122

Cell and atoms, written as CIF:
```
data_Sr2YNi
_symmetry_space_group_name_H-M 'P 1'
_symmetry_Int_Tables_number 1
_symmetry_space_group_name_Hall 'P 1'
_cell_length_a 8.238
_cell_length_b 8.238
_cell_length_c 8.238
_cell_angle_alpha 95.67
_cell_angle_beta 95.67
_cell_angle_gamma 143.36
loop_
_atom_site_label
_atom_site_type_symbol
_atom_site_fract_x
_atom_site_fract_y
_atom_site_fract_z
_atom_site_occupancy
Sr1 Sr 0.375 0.020 0.145 1
Sr2 Sr 0.770 0.625 0.645 1
Sr3 Sr 0.875 0.230 0.855 1
Sr4 Sr 0.980 0.125 0.355 1
Y1 Y 0.250 0.750 0.500 1
Y2 Y 0.500 0.500 0.000 1
Ni1 Ni 0.000 0.000 0.000 1
Ni2 Ni 0.750 0.250 0.500 1
```

---

no.,calculated total energy (eV per atom)
1,-4.736
2,-3.685